A relaxed structure of BaLiIn4Pb2. Source: Alexandria via LeMat-Bulk, functional GGA-PBE.

Structure (extended XYZ):
```
8
Lattice="-0.079 4.022 -3.717 -4.427 0.741 -3.139 -5.014 7.352 4.028" Properties=species:S:1:pos:R:3 pbc="T T T"
In -5.883 7.900 0.604
In -5.894 7.041 -4.360
In -3.626 5.073 1.532
In -3.637 4.214 -3.432
Pb -2.415 3.087 -0.643
Pb -7.105 9.028 -2.185
Ba 0.000 0.000 0.000
Li -4.760 6.057 -1.414
```

Results
Formation enthalpy at 0 K, eV per atom: -0.17
Energy, eV per cell: -23.6
Magnetic moment, μB/atom: 0.000